<one>
The following is a PBE calculation of a geometry-optimized Rb2TlSnI6 structure, from the Alexandria database.

Cell: 8.519 9.024 12.321 Å, 90.00 90.12 90.00°
Fractional positions:
Rb: 0.029 0.918 0.248
Rb: 0.529 0.582 0.748
Rb: 0.971 0.082 0.752
Rb: 0.471 0.418 0.252
Tl: 0.500 0.000 0.000
Tl: 0.000 0.500 0.500
Sn: 0.500 0.000 0.500
Sn: 0.000 0.500 0.000
I: 0.293 0.684 0.051
I: 0.793 0.816 0.551
I: 0.707 0.316 0.949
I: 0.207 0.184 0.449
I: 0.320 0.712 0.450
I: 0.820 0.788 0.950
I: 0.680 0.288 0.550
I: 0.180 0.212 0.050
I: 0.901 0.521 0.237
I: 0.401 0.979 0.737
I: 0.099 0.479 0.763
I: 0.599 0.021 0.263

Values from the calculation:
The crystal system is monoclinic. Its density of states at the Fermi level is 4.6 states/eV/f.u. Its spin magnetization is 0.00 μB/cell.



<two>
The following is a PBE calculation of a geometry-optimized Rb2TlSnI6 structure, from the Alexandria database.

Cell: 8.885 8.885 8.871 Å, 59.95 59.95 90.00°
Fractional positions:
I: 0.258 0.258 0.483
I: 0.742 0.742 0.517
I: 0.259 0.259 0.000
I: 0.741 0.741 0.000
I: 0.741 0.259 0.000
I: 0.259 0.741 0.000
Tl: 0.000 0.000 0.000
Sn: 0.500 0.500 0.000
Rb: 0.750 0.250 0.500
Rb: 0.250 0.750 0.500

Values from the calculation:
The crystal system is tetragonal. Its density of states at the Fermi level is 4.9 states/eV/f.u. Its spin magnetization is 0.00 μB/cell.



<one> has the most favorable energy; the next structure is 3.2 kJ/mol of atoms above.



<one>
The following is a PBE calculation of a geometry-optimized Rb2SrI4 structure, from the Alexandria database.

Cell: 6.415 6.415 10.425 Å, 72.08 72.08 90.00°
Fractional positions:
I: 0.828 0.828 0.344
I: 0.172 0.172 0.656
I: 0.000 0.500 0.000
I: 0.500 0.000 0.000
Sr: 0.000 0.000 0.000
Rb: 0.638 0.638 0.725
Rb: 0.362 0.362 0.275

Values from the calculation:
The crystal system is tetragonal. Its density of states at the Fermi level is 0.0 states/eV/f.u. Its spin magnetization is 0.00 μB/cell.



<two>
The following is a PBE calculation of a geometry-optimized Rb2SrI4 structure, from the Alexandria database.

Cell: 4.852 10.182 9.660 Å, 129.83 104.55 90.00°
Fractional positions:
Rb: 0.643 0.604 0.286
Rb: 0.357 0.396 0.714
Sr: 0.000 0.000 0.000
I: 0.947 0.246 0.893
I: 0.053 0.754 0.107
I: 0.659 0.245 0.318
I: 0.341 0.755 0.682

Values from the calculation:
The crystal system is monoclinic. Its density of states at the Fermi level is 0.0 states/eV/f.u. Its spin magnetization is 0.00 μB/cell.



<two> has the most favorable energy; the next structure is 3.7 kJ/mol of atoms above.



<one>
The following is a PBE calculation of a geometry-optimized Rb3SrI6 structure, from the Alexandria database.

Cell: 9.450 9.450 9.450 Å, 60.00 60.00 90.00°
Fractional positions:
I: 0.240 0.240 0.519
I: 0.760 0.760 0.481
I: 0.241 0.241 0.000
I: 0.759 0.759 0.000
I: 0.759 0.241 0.000
I: 0.241 0.759 0.000
Sr: 0.000 0.000 0.000
Rb: 0.500 0.500 0.000
Rb: 0.750 0.250 0.500
Rb: 0.250 0.750 0.500

Values from the calculation:
The crystal system is cubic. Its density of states at the Fermi level is 23.6 states/eV/f.u. Its spin magnetization is 0.00 μB/cell.



<two>
The following is a PBE calculation of a geometry-optimized Rb3SrI6 structure, from the Alexandria database.

Cell: 6.483 13.821 13.821 Å, 116.44 90.00 90.00°
Fractional positions:
Rb: 0.545 0.925 0.754
Rb: 0.045 0.754 0.925
Rb: 0.511 0.381 0.619
Rb: 0.011 0.619 0.381
Rb: 0.045 0.075 0.246
Rb: 0.545 0.246 0.075
Sr: 0.054 0.223 0.777
Sr: 0.554 0.777 0.223
I: 0.285 0.661 0.658
I: 0.785 0.658 0.661
I: 0.076 0.470 0.841
I: 0.576 0.841 0.470
I: 0.052 0.080 0.920
I: 0.555 0.208 0.792
I: 0.055 0.792 0.208
I: 0.552 0.920 0.080
I: 0.076 0.159 0.530
I: 0.576 0.530 0.159
I: 0.285 0.342 0.339
I: 0.785 0.339 0.342

Values from the calculation:
The crystal system is orthorhombic. Its density of states at the Fermi level is 1.5 states/eV/f.u. Its spin magnetization is 0.00 μB/cell.



<two> has the most favorable energy; the next structure is 11.0 kJ/mol of atoms above.



<one>
The following is a PBE calculation of a geometry-optimized RbSr2I structure, from the Alexandria database.

Cell: 7.654 7.654 12.303 Å, 71.88 71.88 90.00°
Fractional positions:
I: 0.000 0.000 0.000
I: 0.750 0.250 0.500
Sr: 0.798 0.125 0.250
Sr: 0.952 0.625 0.250
Sr: 0.375 0.202 0.750
Sr: 0.875 0.048 0.750
Rb: 0.500 0.500 0.000
Rb: 0.250 0.750 0.500

Values from the calculation:
The crystal system is tetragonal. Its density of states at the Fermi level is 3.2 states/eV/f.u. Its spin magnetization is 0.00 μB/cell.



<two>
The following is a PBE calculation of a geometry-optimized RbSr2I structure, from the Alexandria database.

Cell: 4.328 4.328 13.816 Å, 80.99 80.99 60.00°
Fractional positions:
I: 0.500 0.500 0.500
Sr: 0.104 0.104 0.689
Sr: 0.896 0.896 0.311
Rb: 0.000 0.000 0.000

Values from the calculation:
The crystal system is trigonal. Its density of states at the Fermi level is 2.5 states/eV/f.u. Its spin magnetization is 0.00 μB/cell.



<two> has the most favorable energy; the next structure is 23.9 kJ/mol of atoms above.



<one>
The following is a PBE calculation of a geometry-optimized RbTaTe2I structure, from the Alexandria database.

Cell: 5.463 5.463 6.040 Å, 90.00 90.00 90.00°
Fractional positions:
I: 0.000 0.000 0.500
Te: 0.000 0.500 0.000
Te: 0.500 0.000 0.000
Rb: 0.500 0.500 0.500
Ta: 0.000 0.000 0.000

Values from the calculation:
The crystal system is tetragonal. Its density of states at the Fermi level is 3.6 states/eV/f.u. Its spin magnetization is 0.76 μB/cell.



<two>
The following is a PBE calculation of a geometry-optimized RbTaTe2I structure, from the Alexandria database.

Cell: 6.233 6.233 6.263 Å, 90.00 90.00 90.00°
Fractional positions:
I: 0.000 0.000 0.500
Te: 0.000 0.500 0.000
Te: 0.500 0.000 0.000
Rb: 0.000 0.000 0.000
Ta: 0.500 0.500 0.500

Values from the calculation:
The crystal system is tetragonal. Its density of states at the Fermi level is 11.3 states/eV/f.u. Its spin magnetization is 0.92 μB/cell.



<one> has the most favorable energy; the next structure is 212.4 kJ/mol of atoms above.



<one>
The following is a PBE calculation of a geometry-optimized RbTaTeI2 structure, from the Alexandria database.

Cell: 6.280 6.280 6.314 Å, 90.00 90.00 90.00°
Fractional positions:
I: 0.000 0.500 0.000
I: 0.500 0.000 0.000
Te: 0.000 0.000 0.500
Rb: 0.000 0.000 0.000
Ta: 0.500 0.500 0.500

Values from the calculation:
The crystal system is tetragonal. Its density of states at the Fermi level is 17.4 states/eV/f.u. Its spin magnetization is 0.00 μB/cell.



<two>
The following is a PBE calculation of a geometry-optimized RbTaTeI2 structure, from the Alexandria database.

Cell: 5.924 5.924 5.416 Å, 90.00 90.00 90.00°
Fractional positions:
I: 0.000 0.500 0.000
I: 0.500 0.000 0.000
Te: 0.000 0.000 0.500
Rb: 0.500 0.500 0.500
Ta: 0.000 0.000 0.000

Values from the calculation:
The crystal system is tetragonal. Its density of states at the Fermi level is 3.9 states/eV/f.u. Its spin magnetization is 1.88 μB/cell.



<two> has the most favorable energy; the next structure is 193.4 kJ/mol of atoms above.



<one>
The following is a PBE calculation of a geometry-optimized Rb2TbI5 structure, from the Alexandria database.

Cell: 9.069 9.069 8.352 Å, 122.88 122.88 90.00°
Fractional positions:
Rb: 0.240 0.740 0.481
Rb: 0.740 0.240 0.481
Tb: 0.977 0.977 0.955
I: 0.796 0.258 0.053
I: 0.258 0.258 0.053
I: 0.796 0.796 0.053
I: 0.258 0.796 0.053
I: 0.712 0.712 0.425

Values from the calculation:
The crystal system is tetragonal. Its density of states at the Fermi level is 0.0 states/eV/f.u. Its spin magnetization is 0.00 μB/cell.



<two>
The following is a PBE calculation of a geometry-optimized Rb2TbI5 structure, from the Alexandria database.

Cell: 9.571 9.936 14.831 Å, 90.00 90.00 90.00°
Fractional positions:
Rb: 0.410 0.511 0.831
Rb: 0.590 0.489 0.169
Rb: 0.910 0.489 0.669
Rb: 0.590 0.011 0.169
Rb: 0.090 0.511 0.331
Rb: 0.410 0.989 0.831
Rb: 0.090 0.989 0.331
Rb: 0.910 0.011 0.669
Tb: 0.424 0.250 0.506
Tb: 0.576 0.750 0.494
Tb: 0.924 0.750 0.994
Tb: 0.076 0.250 0.006
I: 0.093 0.250 0.513
I: 0.907 0.750 0.487
I: 0.593 0.750 0.987
I: 0.407 0.250 0.013
I: 0.331 0.951 0.558
I: 0.669 0.049 0.442
I: 0.831 0.049 0.942
I: 0.669 0.451 0.442
I: 0.169 0.951 0.058
I: 0.331 0.549 0.558
I: 0.169 0.549 0.058
I: 0.831 0.451 0.942
I: 0.135 0.250 0.803
I: 0.865 0.750 0.197
I: 0.635 0.750 0.697
I: 0.365 0.250 0.303
I: 0.586 0.250 0.687
I: 0.414 0.750 0.313
I: 0.086 0.750 0.813
I: 0.914 0.250 0.187

Values from the calculation:
The crystal system is orthorhombic. Its density of states at the Fermi level is 0.0 states/eV/f.u. Its spin magnetization is 0.00 μB/cell.



<two> has the most favorable energy; the next structure is 5.4 kJ/mol of atoms above.



<one>
The following is a PBE calculation of a geometry-optimized RbTbI3 structure, from the Alexandria database.

Cell: 6.085 6.085 6.085 Å, 90.00 90.00 90.00°
Fractional positions:
I: 0.000 0.500 0.000
I: 0.000 0.000 0.500
I: 0.500 0.000 0.000
Tb: 0.000 0.000 0.000
Rb: 0.500 0.500 0.500

Values from the calculation:
The crystal system is cubic. Its density of states at the Fermi level is 3.5 states/eV/f.u. Its spin magnetization is 0.01 μB/cell.



<two>
The following is a PBE calculation of a geometry-optimized RbTbI3 structure, from the Alexandria database.

Cell: 6.829 8.671 8.671 Å, 120.00 89.99 90.00°
Fractional positions:
Rb: 0.750 0.667 0.333
Rb: 0.250 0.333 0.667
Tb: 0.000 0.000 0.000
Tb: 0.500 0.000 0.000
I: 0.750 0.653 0.827
I: 0.250 0.827 0.653
I: 0.250 0.347 0.173
I: 0.750 0.173 0.347
I: 0.250 0.827 0.173
I: 0.750 0.173 0.827

Values from the calculation:
The crystal system is hexagonal. Its density of states at the Fermi level is 2.4 states/eV/f.u. Its spin magnetization is 0.01 μB/cell.



<two> has the most favorable energy; the next structure is 9.7 kJ/mol of atoms above.